A plane-wave DFT calculation with PBEsol was carried out for a geometry-optimized MgCd2Ni structure.

Geometry as CIF:
```
data_MgCd2Ni
_space_group_name_H-M_alt 'P 4 m m'
_space_group_IT_number 99
_cell_length_a 3.098
_cell_length_b 3.098
_cell_length_c 7.128
_cell_angle_alpha 90.00
_cell_angle_beta 90.00
_cell_angle_gamma 90.00
loop_
_space_group_symop_operation_xyz
'x,y,z'
'-y,x,z'
'-x,-y,z'
'y,-x,z'
'-x,y,z'
'y,x,z'
'x,-y,z'
'-y,-x,z'
loop_
_atom_site_label
_atom_site_fract_x
_atom_site_fract_y
_atom_site_fract_z
Mg1 0.000 0.000 0.000
Cd1 0.000 0.000 0.415
Cd2 0.500 0.500 0.709
Ni1 0.500 0.500 0.200
```

Summary:
- energy of formation from the pure elements (eV/atom) = -0.06
- mass density (Mg/m³) = 7.47
- total DFT energy (no corrections) (eV per atom) = -2.625
- DOS(E_F) (states/eV/atom) = 0.439